# 1
A relaxed MnAl3Cl crystal. Source: Alexandria, functional PBE-GGA.

Computed properties:
Distance to the lowest polymorph of the same formula, meV per atom: 583
ΔE_f (raw), meV per atom: 846.4
DOS(E_F), states/eV per cell: 2.9
Symmetry: No. 221
Total energy, eV per atom: -3.60
Spin magnetization, Bohr magnetons per cell: 3.84

Cell: 4.8163 4.8163 4.8163 Å, 90.00 90.00 90.00°
Positions (direct):
1 Al 0.0000 0.5000 0.0000
2 Mn 0.5000 0.5000 0.5000
3 Cl 0.0000 0.0000 0.0000
4 Al 0.5000 0.0000 0.0000
5 Al 0.0000 0.0000 0.5000

=====

# 2
A relaxed Mn2AlCl crystal. Source: Alexandria, functional PBE-GGA.

Computed properties:
Distance to the lowest polymorph of the same formula, meV per atom: 236
ΔE_f (raw), meV per atom: 172.2
DOS(E_F), states/eV per cell: 1.7
Symmetry: No. 6
Total energy, eV per atom: -5.81
Spin magnetization, Bohr magnetons per cell: 6.59

Cell: 4.3948 2.9175 5.1843 Å, 73.69 90.00 90.00°
Positions (direct):
1 Cl 0.5000 0.8958 0.8329
2 Mn 0.0000 0.8359 0.9555
3 Mn 0.5000 0.1900 0.2452
4 Al 0.0000 0.5782 0.4665